Sm4ErTm3: relaxed, PBE.

Cell: 25.808 5.616 3.608 Å, 90.00 90.06 90.00°
Space group C2/m (No. 12)
Inequivalent atoms, fractional coordinates:
Sm: 0.102 0.000 0.000 x4
Sm: 0.223 0.000 0.000 x4
Er: 0.000 0.000 0.500 x2
Tm: 0.000 0.500 0.000 x2
Tm: 0.152 0.500 0.500 x4

Calculated values
The energy of formation comes out at 154 kJ/mol of formula units. The value obtained for the energy above the most stable polymorph in this dataset is 1.43 eV per formula unit. For the calculated density, the calculation gives 8.1 Mg/m³.

***

SmEr2Tm2: relaxed, PBE.

Cell: 3.480 5.648 16.194 Å, 90.00 90.00 90.00°
Space group Amm2 (No. 38)
Inequivalent atoms, fractional coordinates:
Sm: 0.000 0.000 0.000 x2
Er: 0.000 0.000 0.381 x2
Er: 0.500 0.000 0.573 x2
Tm: 0.000 0.000 0.762 x2
Tm: 0.500 0.000 0.192 x2

Calculated values
The energy of formation comes out at 58 kJ/mol of formula units. The value obtained for the energy above the most stable polymorph in this dataset is 0.17 eV per formula unit. For the calculated density, the calculation gives 8.6 Mg/m³.

***

Sm4Er8Tm3: relaxed, PBE.

Cell: 13.278 12.800 6.681 Å, 90.00 120.01 90.00°
Space group C2/m (No. 12)
Inequivalent atoms, fractional coordinates:
Sm: 0.000 0.000 0.000 x2
Sm: 0.000 0.000 0.500 x2
Sm: 0.250 0.250 0.000 x4
Er: 0.000 0.254 0.000 x4
Er: 0.000 0.363 0.500 x4
Er: 0.230 0.500 0.965 x4
Er: 0.233 0.500 0.488 x4
Tm: 0.000 0.500 0.000 x2
Tm: 0.250 0.250 0.500 x4

Calculated values
The energy of formation comes out at 558 kJ/mol of formula units. The value obtained for the energy above the most stable polymorph in this dataset is 3.88 eV per formula unit. For the calculated density, the calculation gives 8.3 Mg/m³.

***

SmErTm2: relaxed, PBE.

Cell: 7.956 7.956 7.956 Å, 90.00 90.00 90.00°
Space group Fm-3m (No. 225)
Inequivalent atoms, fractional coordinates:
Sm: 0.000 0.000 0.000 x4
Er: 0.000 0.000 0.500 x4
Tm: 0.250 0.250 0.250 x8

Calculated values
The energy of formation comes out at 49 kJ/mol of formula units. The value obtained for the energy above the most stable polymorph in this dataset is 0.47 eV per formula unit. For the calculated density, the calculation gives 8.6 Mg/m³.

***

Sm2Er5Tm: relaxed, PBE.

Cell: 16.269 5.605 11.360 Å, 90.00 90.04 90.00°
Space group C2/m (No. 12)
Inequivalent atoms, fractional coordinates:
Sm: 0.211 0.000 0.082 x4
Sm: 0.211 0.000 0.417 x4
Er: 0.044 0.000 0.887 x4
Er: 0.046 0.000 0.611 x4
Er: 0.086 0.500 0.420 x4
Er: 0.087 0.500 0.079 x4
Er: 0.105 0.500 0.750 x4
Tm: 0.228 0.000 0.750 x4

Calculated values
The energy of formation comes out at 107 kJ/mol of formula units. The value obtained for the energy above the most stable polymorph in this dataset is 0.94 eV per formula unit. For the calculated density, the calculation gives 8.4 Mg/m³.

***

SmEr5Tm7: relaxed, PBE.

Cell: 6.644 10.939 11.403 Å, 90.00 90.00 90.00°
Space group Imm2 (No. 44)
Inequivalent atoms, fractional coordinates:
Sm: 0.000 0.000 0.000 x2
Er: 0.000 0.500 0.802 x2
Er: 0.233 0.228 0.801 x8
Tm: 0.000 0.000 0.305 x2
Tm: 0.000 0.000 0.612 x2
Tm: 0.000 0.329 0.551 x4
Tm: 0.000 0.330 0.053 x4
Tm: 0.000 0.500 0.301 x2

Calculated values
The energy of formation comes out at 326 kJ/mol of formula units. For the calculated density, the calculation gives 8.7 Mg/m³.

***

SmErTm2: relaxed, PBE.

Cell: 6.900 6.881 10.923 Å, 90.00 90.04 90.00°
Space group P2/c (No. 13)
Inequivalent atoms, fractional coordinates:
Sm: 0.126 0.126 0.387 x4
Er: 0.376 0.376 0.613 x4
Tm: 0.125 0.376 0.888 x4
Tm: 0.376 0.126 0.112 x4

Calculated values
The energy of formation comes out at 83 kJ/mol of formula units. The value obtained for the energy above the most stable polymorph in this dataset is 0.82 eV per formula unit. For the calculated density, the calculation gives 8.4 Mg/m³.

***

SmEr8Tm6: relaxed, PBE.

Cell: 9.3037 9.3037 6.4217 Å, 90.00 90.00 120.00°
Space group P-3 (No. 147)
Inequivalent atoms, fractional coordinates:
Sm: 0.0000 0.0000 0.0000 x1
Er: 0.0254 0.3390 0.4055 x6
Er: 0.3333 0.6667 0.6705 x2
Tm: 0.0970 0.6806 0.0904 x6

Calculated values
The energy of formation comes out at 344 kJ/mol of formula units. The value obtained for the energy above the most stable polymorph in this dataset is 1.50 eV per formula unit. For the calculated density, the calculation gives 8.6 Mg/m³.